A plane-wave DFT calculation with PBE was carried out for a relaxed Ru2WCl crystal.

Cell: 2.8451 4.4736 4.6549 Å, 90.00 90.00 90.00°
Fractional positions:
Ru 0.0000 0.0000 0.0000
Ru 0.5000 0.0000 0.5000
W 0.0000 0.5000 0.5000
Cl 0.5000 0.5000 0.0000

* ρ: 11.8 g/cm3
* ΔE to the lowest computed polymorph: 495 meV per atom
* calculated volume: 14.8 A^3/atom
* uncorrected formation energy: 0.805 eV/atom
* symmetry: No. 47
* total moment: 0.0 μB/f.u.
* raw total energy: -7.533 eV per atom